{"formula": "Tb2CeRu", "functional": "PBE-GGA", "state": "relaxed", "e_form_ev_per_fu": 0.53, "mass_density_g_cm3": 8.70, "crystal_system": "trigonal", "sg": "R-3m, No. 166", "polymorph_energy_mev_per_atom": 441, "cell": [[3.398, 0.000, 0.000], [1.699, 2.943, 0.000], [1.699, 0.981, 10.670]], "species": ["Tb", "Ce", "Ru", "Tb"], "fractional_positions": [[0.896, 0.896, 0.313], [0.000, 0.000, 0.000], [0.500, 0.500, 0.500], [0.104, 0.104, 0.687]]}